No. 1
# Mg3Tl

A relaxed structure of Mg3Tl (PBE-GGA, the Alexandria database).

Unit cell a=5.618 b=5.618 c=5.478 alpha=98.35 beta=98.35 gamma=33.90
Sites, in units of the cell vectors:
Mg  0.000  0.000  0.000
Mg  0.252  0.252  0.756
Mg  0.748  0.748  0.244
Tl  0.500  0.500  0.500

Summary:
Fermi-level density of states	1.44	states/eV per cell
energy	-1.805	eV per atom
symmetry	No. 12
energy of formation	-0.02	eV/atom

***

No. 2
# Mg2Tl7

A relaxed structure of Mg2Tl7 (PBE-GGA, the Alexandria database).

Unit cell a=5.902 b=5.902 c=8.544 alpha=90.00 beta=90.00 gamma=120.00
Sites, in units of the cell vectors:
Mg  0.333  0.667  0.000
Mg  0.667  0.333  0.000
Tl  0.000  0.000  0.000
Tl  0.000  0.337  0.676
Tl  0.000  0.663  0.324
Tl  0.337  0.000  0.676
Tl  0.337  0.337  0.324
Tl  0.663  0.000  0.324
Tl  0.663  0.663  0.676

Summary:
Fermi-level density of states	5.23	states/eV per cell
energy	-2.169	eV per atom
symmetry	No. 162
energy of formation	0.03	eV/atom

***

No. 3
# MgTl2

A relaxed structure of MgTl2 (PBE-GGA, the Alexandria database).

Unit cell a=6.002 b=6.002 c=6.002 alpha=106.40 beta=106.40 gamma=115.82
Sites, in units of the cell vectors:
Mg  0.250  0.250  0.000
Mg  0.750  0.750  0.000
Tl  0.163  0.663  0.826
Tl  0.337  0.163  0.500
Tl  0.663  0.837  0.500
Tl  0.837  0.337  0.174

Summary:
Fermi-level density of states	3.64	states/eV per cell
energy	-2.104	eV per atom
symmetry	No. 140
offset from the most stable computed form	21	meV per atom
energy of formation	0.00	eV/atom

***

No. 4
# Mg2Tl5

A relaxed structure of Mg2Tl5 (PBE-GGA, the Alexandria database).

Unit cell a=16.543 b=16.543 c=16.543 alpha=168.00 beta=168.00 gamma=17.01
Sites, in units of the cell vectors:
Mg  0.220  0.220  0.000
Mg  0.780  0.780  0.000
Tl  0.079  0.079  0.000
Tl  0.344  0.344  0.000
Tl  0.500  0.500  0.000
Tl  0.656  0.656  0.000
Tl  0.921  0.921  0.000

Summary:
Fermi-level density of states	2.57	states/eV per cell
energy	-2.146	eV per atom
symmetry	No. 139
energy of formation	0.00	eV/atom